Hf4TlAu | PBE-GGA | optimized geometry

Cell lengths 3.188, 3.188, 12.917 Å; angles 90.00, 90.00, 90.00 degrees
Sites, in units of the cell vectors:
Hf  0.500  0.500  0.187
Hf  0.000  0.000  0.652
Hf  0.500  0.500  0.813
Hf  0.000  0.000  0.348
Tl  0.000  0.000  0.000
Au  0.500  0.500  0.500

formation energy	-0.212	eV/atom
magnetization	0.0	μB/cell
symmetry	P4/mmm (123)
crystal system	tetragonal
calculated total energy	-7.79	eV/atom